[1]
DFT (PBE) results for crystalline RbCoOs at its relaxed geometry.

abc: 5.8552 5.8552 8.7661
angles: 90.00 90.00 120.00
Last column: nearest neighbours and their distance in Å.
Fractional positions:
Co (0.0000, 0.0000, 0.2500)  2 Os 2.19
Co (0.0000, 0.0000, 0.7500)  2 Os 2.19
Os (0.0000, 0.0000, 0.0000)  2 Co 2.19
Os (0.0000, 0.0000, 0.5000)  2 Co 2.19
Rb (0.3333, 0.6667, 0.2500)  3 Co 3.38
Rb (0.6667, 0.3333, 0.7500)  3 Co 3.38

Calculated values
* excess energy over the best structure of this formula in the dataset: 1425 meV per atom
* M_tot: 5.8 Bohr magnetons per cell
* N(E_F): 6.6 states/eV/f.u.
* DFT total energy: -4.3570 eV/atom
* calculated volume: 43.38 A^3/atom
* formation enthalpy at 0 K: 2.0774 eV/atom



[2]
DFT (PBE) results for crystalline PaSeO2 at its relaxed geometry.

abc: 3.3547 6.0018 5.9832
angles: 119.91 90.00 90.00
Last column: nearest neighbours and their distance in Å.
Fractional positions:
Pa (0.5000, 0.0000, 0.5000)  4 O 2.10
Se (0.5000, 0.5000, 0.0000)  2 Pa 3.00, 2 Se 3.35
O (0.0000, 0.1212, 0.3770)  2 Pa 2.10
O (0.0000, 0.8788, 0.6230)  2 Pa 2.10

Calculated values
* excess energy over the best structure of this formula in the dataset: 231 meV per atom
* M_tot: 0.3 Bohr magnetons per cell
* N(E_F): 1.7 states/eV/f.u.
* DFT total energy: -8.1282 eV/atom
* calculated volume: 26.11 A^3/atom



Question: The highest N(E_F) belongs to which entry?
Answer: RbCoOs



Question: Among the records above, which one has the highest N(E_F)?
Answer: RbCoOs